Entry 1:
CaHo4Cd5 | PBE | optimized geometry

Computed properties:
Energy of formation: -0.33 eV/atom

```
data_CaHo4Cd5
_chemical_formula_sum 'Ca1 Ho4 Cd5'
_cell_length_a 3.739
_cell_length_b 3.739
_cell_length_c 18.837
_cell_angle_alpha 90.00
_cell_angle_beta 90.00
_cell_angle_gamma 90.00
_symmetry_space_group_name_H-M 'P 4/m m m'
_symmetry_Int_Tables_number 123
_symmetry_space_group_name_Hall '-P 4 2'
loop_
_atom_site_label
_atom_site_type_symbol
_atom_site_fract_x
_atom_site_fract_y
_atom_site_fract_z
_atom_site_occupancy
Ca1 Ca 0.000 0.000 0.000 1
Ho1 Ho 0.000 0.000 0.204 1
Ho2 Ho 0.000 0.000 0.401 1
Cd1 Cd 0.500 0.500 0.108 1
Cd2 Cd 0.500 0.500 0.303 1
Cd3 Cd 0.500 0.500 0.500 1
```

Entry 2:
Ca2HoCd | PBE | optimized geometry

Computed properties:
Energy of formation: 0.14 eV/atom
ΔE to the lowest computed polymorph: 191 meV per atom

```
data_Ca2HoCd
_chemical_formula_sum 'Ca6 Ho3 Cd3'
_cell_length_a 3.6005
_cell_length_b 3.6005
_cell_length_c 35.9937
_cell_angle_alpha 90.00
_cell_angle_beta 90.00
_cell_angle_gamma 120.00
_symmetry_space_group_name_H-M 'R -3 m'
_symmetry_Int_Tables_number 166
_symmetry_space_group_name_Hall '-R 3 2"'
loop_
_atom_site_label
_atom_site_type_symbol
_atom_site_fract_x
_atom_site_fract_y
_atom_site_fract_z
_atom_site_occupancy
Ca1 Ca 0.0000 0.0000 0.0953 1
Ho1 Ho 0.0000 0.0000 0.0000 1
Cd1 Cd 0.0000 0.0000 0.5000 1
```